1.
12
Lattice="4.459 -4.894 0.000 4.459 4.894 0.000 0.000 0.000 5.490" Properties=species:S:1:pos:R:3 comment="Ce3TlH2 GGA-PBE relaxed" e_tot_ev_per_atom=-4.7854 de_polymorph_mev_per_atom=8.4 space_group=Cmcm pbc="T T T"
Ce 4.459 3.427 4.118
Ce 2.646 1.292 4.118
Ce 2.646 -1.292 1.373
Ce 6.272 1.292 4.118
Ce 6.272 -1.292 1.373
Ce 4.459 -3.427 1.373
Tl 4.459 1.568 1.373
Tl 4.459 -1.568 4.118
H 1.267 0.000 0.000
H 1.267 0.000 2.745
H 7.651 0.000 0.000
H 7.651 0.000 2.745



2.
6
Lattice="-2.416 2.416 5.167 2.416 -2.416 5.167 2.416 2.416 -5.167" Properties=species:S:1:pos:R:3 comment="Ce3TlH2 GGA-PBE relaxed" e_tot_ev_per_atom=-4.7938 de_polymorph_mev_per_atom=0.0 space_group=I4/mmm pbc="T T T"
Ce 0.000 0.000 0.000
Ce 2.416 0.000 2.583
Ce 0.000 2.416 2.583
Tl 0.000 0.000 5.167
H 0.000 0.000 2.282
H 0.000 0.000 8.051



3.
4
Lattice="1.892 1.092 5.419 -1.892 1.092 5.419 0.000 -2.184 5.419" Properties=species:S:1:pos:R:3 comment="CeTlH2 GGA-PBE relaxed" e_tot_ev_per_atom=-4.0690 space_group=R-3m pbc="T T T"
Ce 0.000 0.000 0.000
Tl 0.000 0.000 8.129
H 0.000 0.000 4.934
H 0.000 0.000 11.324



4.
6
Lattice="2.086 -6.431 0.000 2.086 6.431 0.000 0.000 0.000 4.553" Properties=species:S:1:pos:R:3 comment="CeTlH GGA-PBE relaxed" e_tot_ev_per_atom=-4.2543 de_polymorph_mev_per_atom=0.0 space_group=Cmcm pbc="T T T"
Ce 2.086 4.290 3.415
Ce 2.086 -4.290 1.138
Tl 2.086 0.925 3.415
Tl 2.086 -0.925 1.138
H 2.086 3.266 1.138
H 2.086 -3.266 3.415



5.
11
Lattice="-1.901 2.572 5.709 1.901 -2.572 5.709 1.901 2.572 -5.709" Properties=species:S:1:pos:R:3 comment="Ce2TmH8 GGA-PBE relaxed" e_tot_ev_per_atom=-4.4812 space_group=Immm pbc="T T T"
Ce 0.000 0.000 1.945
Ce 0.000 0.000 9.474
Tm 0.000 0.000 5.709
H 1.901 1.284 -1.737
H 0.000 1.318 0.000
H 1.901 0.000 3.674
H 1.901 1.284 1.737
H 0.000 1.288 3.973
H 0.000 2.572 2.035
H 0.000 3.827 0.000
H 0.000 1.288 7.446



6.
80
Lattice="-6.564 6.564 6.564 6.564 -6.564 6.564 6.564 6.564 -6.564" Properties=species:S:1:pos:R:3 comment="Ce5Tm3H12 GGA-PBE relaxed" e_tot_ev_per_atom=-4.5303 space_group=Ia-3d pbc="T T T"
Ce 0.000 0.000 0.000
Ce 3.282 3.282 -3.282
Ce 3.282 -3.282 3.282
Ce 6.564 0.000 0.000
Ce 9.846 1.641 0.000
Ce 6.564 -3.282 4.923
Ce 4.923 6.564 -3.282
Ce 4.923 0.000 3.282
Ce 3.282 4.923 0.000
Ce 6.564 3.282 1.641
Ce -3.282 3.282 3.282
Ce 0.000 6.564 0.000
Ce 0.000 0.000 6.564
Ce 3.282 3.282 3.282
Ce 0.000 3.282 4.923
Ce 3.282 1.641 6.564
Ce 1.641 6.564 3.282
Ce 1.641 0.000 9.846
Ce 0.000 9.846 1.641
Ce -3.282 4.923 6.564
Tm 3.282 1.641 0.000
Tm 6.564 3.282 -1.641
Tm 1.641 0.000 3.282
Tm 8.205 0.000 3.282
Tm 0.000 3.282 1.641
Tm 3.282 -1.641 6.564
Tm 3.282 8.205 0.000
Tm 6.564 3.282 4.923
Tm -1.641 6.564 3.282
Tm 4.923 6.564 3.282
Tm 0.000 3.282 8.205
Tm 3.282 4.923 6.564
H 8.623 -0.035 0.966
H 7.787 -2.316 3.247
H 2.059 0.035 0.966
H 7.787 4.248 -3.247
H 6.599 -0.966 2.059
H 9.811 -1.223 2.316
H 4.248 3.247 -1.223
H 5.598 2.059 -0.035
H 0.966 2.059 0.035
H 8.880 3.317 -1.223
H 0.035 0.966 2.059
H 3.247 -1.223 4.248
H 6.599 5.598 -2.059
H 3.247 1.223 2.316
H 2.316 3.247 1.223
H 7.530 4.505 -0.035
H 4.248 -3.247 7.787
H 5.598 -2.059 6.599
H 3.247 7.787 -2.316
H 6.599 0.966 4.505
H 1.223 2.316 3.247
H 2.059 -0.035 5.598
H 2.059 6.599 -0.966
H 7.787 2.316 3.317
H -1.223 4.248 3.247
H 4.505 -0.035 7.530
H 4.505 6.599 0.966
H 5.341 4.248 3.317
H -0.035 5.598 2.059
H 3.317 -1.223 8.880
H 0.966 8.623 -0.035
H 2.316 9.811 -1.223
H -0.966 2.059 6.599
H 4.248 3.317 5.341
H 3.317 5.341 4.248
H -0.035 0.966 8.623
H 3.317 7.787 2.316
H 6.529 5.598 4.505
H -2.316 3.247 7.787
H 5.598 4.505 6.529
H 0.966 4.505 6.599
H 2.316 3.317 7.787
H -3.247 7.787 4.248
H -0.035 7.530 4.505
H -1.223 2.316 9.811
H 4.505 6.529 5.598
H -1.223 8.880 3.317
H -2.059 6.599 5.598



7.
80
Lattice="-6.513 6.513 6.513 6.513 -6.513 6.513 6.513 6.513 -6.513" Properties=species:S:1:pos:R:3 comment="Ce3Tm5H12 GGA-PBE relaxed" e_tot_ev_per_atom=-4.4641 space_group=Ia-3d pbc="T T T"
Ce 3.257 1.628 0.000
Ce 6.513 3.257 -1.628
Ce 1.628 0.000 3.257
Ce 8.141 0.000 3.257
Ce 0.000 3.257 1.628
Ce 3.257 -1.628 6.513
Ce 3.257 8.141 0.000
Ce 6.513 3.257 4.885
Ce -1.628 6.513 3.257
Ce 4.885 6.513 3.257
Ce 0.000 3.257 8.141
Ce 3.257 4.885 6.513
Tm 0.000 0.000 0.000
Tm 3.257 3.257 -3.257
Tm 3.257 -3.257 3.257
Tm 6.513 0.000 0.000
Tm 9.770 1.628 0.000
Tm 6.513 -3.257 4.885
Tm 4.885 6.513 -3.257
Tm 4.885 0.000 3.257
Tm 3.257 4.885 0.000
Tm 6.513 3.257 1.628
Tm -3.257 3.257 3.257
Tm 0.000 6.513 0.000
Tm 0.000 0.000 6.513
Tm 3.257 3.257 3.257
Tm 0.000 3.257 4.885
Tm 3.257 1.628 6.513
Tm 1.628 6.513 3.257
Tm 1.628 0.000 9.770
Tm 0.000 9.770 1.628
Tm -3.257 4.885 6.513
H 1.985 -0.097 0.907
H 7.785 4.163 -3.354
H 8.498 0.097 0.907
H 7.785 -2.350 3.354
H 6.416 -0.907 1.985
H 9.867 -1.272 2.350
H 0.907 1.985 -0.097
H 8.863 3.159 -1.272
H 4.163 3.354 -1.272
H 5.606 1.985 0.097
H -0.097 0.907 1.985
H 3.354 -1.272 4.163
H 6.416 5.606 -1.985
H 3.354 1.272 2.350
H 4.163 -3.354 7.785
H 5.606 -1.985 6.416
H 2.350 3.354 1.272
H 7.420 4.528 0.097
H 3.354 7.785 -2.350
H 6.416 0.907 4.528
H 1.985 6.416 -0.907
H 7.785 2.350 3.159
H 1.272 2.350 3.354
H 1.985 0.097 5.606
H 4.528 6.416 0.907
H 5.242 4.163 3.159
H -1.272 4.163 3.354
H 4.528 0.097 7.420
H 0.097 5.606 1.985
H 3.159 -1.272 8.863
H -0.907 1.985 6.416
H 4.163 3.159 5.242
H 0.907 8.498 0.097
H 2.350 9.867 -1.272
H 3.159 5.242 4.163
H 0.097 0.907 8.498
H 3.159 7.785 2.350
H 6.610 5.606 4.528
H 0.907 4.528 6.416
H 2.350 3.159 7.785
H -2.350 3.354 7.785
H 5.606 4.528 6.610
H -3.354 7.785 4.163
H 0.097 7.420 4.528
H -1.272 8.863 3.159
H -1.985 6.416 5.606
H -1.272 2.350 9.867
H 4.528 6.610 5.606



8.
4
Lattice="3.256 0.000 0.000 0.000 3.256 0.000 0.000 0.000 8.427" Properties=species:S:1:pos:R:3 comment="CeTm2H GGA-PBE relaxed" e_tot_ev_per_atom=-4.4002 de_polymorph_mev_per_atom=169.8 space_group=P4/mmm pbc="T T T"
Ce 0.000 0.000 0.000
Tm 1.628 1.628 2.604
Tm 1.628 1.628 5.823
H 0.000 0.000 4.213